Entry 1:
The following is a GGA-PBE calculation of a relaxed NdGa6Cu crystal, from OQMD.

Cell lengths 6.374, 6.374, 4.312 Å; angles 90.00, 90.00, 120.00 degrees
Element x y z (fractional)
Nd 0.000 0.000 0.000
Ga 0.036 0.518 0.000
Ga 0.384 0.192 0.500
Ga 0.482 0.518 0.000
Ga 0.482 0.964 0.000
Ga 0.808 0.192 0.500
Ga 0.808 0.616 0.500
Cu 0.333 0.667 0.500

## Properties
* final energy: -3.500 eV per atom
* crystal system: hexagonal


Entry 2:
The following is a GGA-PBE calculation of a relaxed NdGa2CuNi crystal, from OQMD.

Cell lengths 4.249, 4.249, 9.762 Å; angles 90.00, 90.00, 90.00 degrees
Element x y z (fractional)
Nd 0.250 0.250 0.248
Nd 0.750 0.750 0.752
Ga 0.250 0.250 0.631
Ga 0.250 0.750 0.000
Ga 0.750 0.250 0.000
Ga 0.750 0.750 0.369
Cu 0.250 0.750 0.500
Cu 0.750 0.250 0.500
Ni 0.250 0.250 0.874
Ni 0.750 0.750 0.126

## Properties
* final energy: -4.532 eV per atom
* crystal system: tetragonal